A plane-wave DFT calculation with PBE was carried out for an optimized crystal structure of Re4SbAs.

## Properties
Density of states at the Fermi level in states/eV/f.u.: 6.65
Space group: No. 216
Formation energy without anion corrections in eV/f.u.: 5.1

a = 5.297 Å, b = 5.297 Å, c = 5.297 Å
α = 60.00°, β = 60.00°, γ = 60.00°
Positions (direct):
Re (0.876, 0.375, 0.375)
Re (0.375, 0.375, 0.876)
Re (0.375, 0.876, 0.375)
Re (0.375, 0.375, 0.375)
Sb (0.750, 0.750, 0.750)
As (0.000, 0.000, 0.000)


A plane-wave DFT calculation with PBE was carried out for an optimized crystal structure of Re2SbAs.

## Properties
Density of states at the Fermi level in states/eV/f.u.: 4.48
Space group: No. 166
Distance to the lowest polymorph of the same formula in meV/atom: 400
Formation energy without anion corrections in eV/f.u.: 2.3

a = 8.408 Å, b = 8.408 Å, c = 8.408 Å
α = 21.00°, β = 21.00°, γ = 21.00°
Positions (direct):
Re (0.006, 0.006, 0.006)
Re (0.494, 0.494, 0.494)
As (0.750, 0.750, 0.750)
Sb (0.250, 0.250, 0.250)


A plane-wave DFT calculation with PBE was carried out for an optimized crystal structure of ReSbAs.

## Properties
Density of states at the Fermi level in states/eV/f.u.: 2.54
Space group: No. 187
Distance to the lowest polymorph of the same formula in meV/atom: 469
Formation energy without anion corrections in eV/f.u.: 1.7

a = 4.413 Å, b = 4.413 Å, c = 3.348 Å
α = 90.00°, β = 90.00°, γ = 120.00°
Positions (direct):
Re (0.667, 0.333, 0.167)
As (0.000, 0.000, 0.167)
Sb (0.333, 0.667, 0.667)


A plane-wave DFT calculation with PBE was carried out for an optimized crystal structure of Re2SbAs.

## Properties
Density of states at the Fermi level in states/eV/f.u.: 0.84
Space group: No. 8
Distance to the lowest polymorph of the same formula in meV/atom: 200
Formation energy without anion corrections in eV/f.u.: 1.5

a = 4.658 Å, b = 4.658 Å, c = 5.375 Å
α = 73.63°, β = 73.63°, γ = 39.63°
Positions (direct):
Re (0.990, 0.990, 0.118)
Re (0.737, 0.737, 0.750)
As (0.272, 0.272, 0.098)
Sb (0.501, 0.501, 0.535)


A plane-wave DFT calculation with PBE was carried out for an optimized crystal structure of Re2SbAs.

## Properties
Density of states at the Fermi level in states/eV/f.u.: 3.16
Space group: No. 123
Distance to the lowest polymorph of the same formula in meV/atom: 352
Formation energy without anion corrections in eV/f.u.: 2.1

a = 3.195 Å, b = 4.508 Å, c = 4.508 Å
α = 90.00°, β = 90.00°, γ = 90.00°
Positions (direct):
Re (0.000, 0.000, 0.000)
Re (0.000, 0.500, 0.500)
As (0.500, 0.000, 0.500)
Sb (0.500, 0.500, 0.000)


A plane-wave DFT calculation with PBE was carried out for an optimized crystal structure of ReSbAs.

## Properties
Density of states at the Fermi level in states/eV/f.u.: 1.72
Space group: No. 107
Distance to the lowest polymorph of the same formula in meV/atom: 116
Formation energy without anion corrections in eV/f.u.: 0.6

a = 6.681 Å, b = 6.681 Å, c = 6.681 Å
α = 152.79°, β = 152.79°, γ = 38.86°
Positions (direct):
Re (0.344, 0.344, 0.000)
As (0.955, 0.955, 0.000)
Sb (0.701, 0.701, 0.000)


A plane-wave DFT calculation with PBE was carried out for an optimized crystal structure of ReSbAs3.

## Properties
Density of states at the Fermi level in states/eV/f.u.: 4.29
Space group: No. 221
Distance to the lowest polymorph of the same formula in meV/atom: 0
Formation energy without anion corrections in eV/f.u.: 3.0

a = 4.864 Å, b = 4.864 Å, c = 4.864 Å
α = 90.00°, β = 90.00°, γ = 90.00°
Positions (direct):
Re (0.000, 0.000, 0.000)
As (0.000, 0.500, 0.000)
As (0.000, 0.000, 0.500)
As (0.500, 0.000, 0.000)
Sb (0.500, 0.500, 0.500)


A plane-wave DFT calculation with PBE was carried out for an optimized crystal structure of Re2SbAs.

## Properties
Density of states at the Fermi level in states/eV/f.u.: 2.21
Space group: No. 99
Distance to the lowest polymorph of the same formula in meV/atom: 0
Formation energy without anion corrections in eV/f.u.: 0.7

a = 3.005 Å, b = 3.005 Å, c = 8.308 Å
α = 90.00°, β = 90.00°, γ = 90.00°
Positions (direct):
Re (0.000, 0.000, 0.013)
Re (0.500, 0.500, 0.216)
As (0.500, 0.500, 0.820)
Sb (0.000, 0.000, 0.451)